No. 1
DFT (PBE) results for a geometry-optimized LaSmY3 structure.

Excess energy over the best structure of this formula in the dataset (eV/atom): 0.000

Cell: 3.595 8.850 13.014 Å, 106.15 114.48 101.72°
Sites, in units of the cell vectors:
La 0.252 0.554 0.650
La 0.748 0.446 0.350
Sm 0.254 0.259 0.750
Sm 0.746 0.741 0.250
Y 0.261 0.151 0.457
Y 0.763 0.351 0.058
Y 0.240 0.022 0.152
Y 0.739 0.849 0.543
Y 0.760 0.978 0.848
Y 0.237 0.649 0.942



No. 2
DFT (PBE) results for a geometry-optimized LaSm7Y4 structure.

Excess energy over the best structure of this formula in the dataset (eV/atom): 0.237

Cell: 6.022 11.696 6.774 Å, 83.21 63.61 75.08°
Sites, in units of the cell vectors:
La 0.000 0.000 0.000
Sm 0.791 0.921 0.496
Sm 0.209 0.079 0.504
Sm 0.059 0.667 0.215
Sm 0.941 0.333 0.785
Sm 0.369 0.503 0.758
Sm 0.500 0.000 0.000
Sm 0.631 0.497 0.242
Y 0.632 0.225 0.511
Y 0.368 0.775 0.489
Y 0.746 0.685 0.822
Y 0.254 0.315 0.178



No. 3
DFT (PBE) results for a geometry-optimized La4Sm5Y4 structure.

Cell: 5.173 9.646 9.651 Å, 85.84 74.46 74.45°
Sites, in units of the cell vectors:
La 0.923 0.461 0.694
La 0.616 0.306 0.461
La 0.077 0.539 0.306
La 0.384 0.694 0.539
Sm 0.689 0.851 0.770
Sm 0.311 0.149 0.230
Sm 0.000 0.000 0.000
Sm 0.540 0.771 0.148
Sm 0.460 0.229 0.852
Y 0.770 0.383 0.077
Y 0.230 0.617 0.923
Y 0.847 0.923 0.383
Y 0.153 0.077 0.617



Number 1: formation energy 0.0517 eV/atom, total moment 0.00 μB/f.u.. Number 2: formation energy 0.2381 eV/atom, total moment 0.00 μB/f.u.. Number 3: formation energy 0.0221 eV/atom, total moment 0.00 μB/f.u..